First-principles (PBE) data for a relaxed structure of Sr2CaTlAs, as listed in Alexandria.

Structure (extended XYZ):
```
5
Lattice="6.002 0.000 0.000 0.000 6.002 0.000 0.000 0.000 5.580" Properties=species:S:1:pos:R:3 pbc="T T T"
Sr 0.000 3.001 0.000
Sr 3.001 0.000 0.000
Tl 3.001 3.001 2.790
Ca 0.000 0.000 2.790
As 0.000 0.000 0.000
```

DOS at the Fermi energy = 1.00 states/eV/atom
Energy of formation = -55.6 kJ/mol of atoms
SG = P4/mmm, No. 123